A relaxed Dy3Te crystal, computed with GGA-PBE.

```
Dy3Te
1.0
-6.224 6.224 3.021
6.224 -6.224 3.021
6.224 6.224 -3.021
Dy Te
12 4
Cartesian
3.507 3.965 -1.536
5.857 1.735 -0.161
7.220 4.885 -1.411
-0.996 1.339 1.610
2.717 2.260 1.485
4.489 -0.367 3.181
8.484 3.507 1.536
1.735 6.592 0.161
4.885 5.228 1.411
1.339 0.996 4.431
0.367 4.489 2.860
-2.260 2.717 4.556
8.737 0.516 0.190
0.516 3.711 -0.190
5.708 2.513 2.830
-2.513 5.708 3.211
```

Computed properties:
For the energy above the most stable polymorph in this dataset, the calculation gives 0.04 eV per formula unit. As for the calculated volume: 29.25 Å³ per atom. The value obtained for the mass density is 8.7 g/cm³. The formation energy (no corrections) comes out at -0.63 eV per atom. Its raw total energy is -0.179 Ha/atom.